A plane-wave DFT calculation with GGA-PBE was carried out for a relaxed LiMgOs2Pb crystal.

Calculated values
Fermi-level density of states = 5.31 states/eV/cell
formation enthalpy at 0 K = 1.693 eV/atom
crystal system = tetragonal
theoretical density = 8.789 g cm⁻³

```
LiMgOs2Pb
1.0
5.0180 0.0000 0.0000
0.0000 4.6439 0.0000
0.0000 0.0000 5.0180
Os Li Mg Pb
2 1 1 1
direct
0.5000 0.0000 0.0000
0.0000 0.0000 0.5000
0.0000 0.5000 0.0000
0.5000 0.5000 0.5000
0.0000 0.0000 0.0000
```



A plane-wave DFT calculation with GGA-PBE was carried out for a relaxed ZnTeAs2 crystal.

Calculated values
offset from the most stable computed form = 0.0 meV per atom
Fermi-level density of states = 0.03 states/eV/cell
raw formation energy = -2.61 kcal/mol of atoms
crystal system = monoclinic
theoretical density = 5.556 g cm⁻³

```
ZnTeAs2
1.0
4.1054 -0.0016 0.0033
2.0547 3.5543 0.0033
-0.0039 -0.0023 7.0210
As Te Zn
2 1 1
direct
0.8755 0.8755 0.0510
0.2088 0.2088 0.2131
0.5412 0.5412 0.5371
0.8744 0.8744 0.6987
```



A plane-wave DFT calculation with GGA-PBE was carried out for a relaxed PmErScZn crystal.

Calculated values
offset from the most stable computed form = 148.6 meV per atom
Fermi-level density of states = 4.47 states/eV/cell
formation enthalpy at 0 K = -0.006 eV/atom
crystal system = cubic
theoretical density = 6.872 g cm⁻³

```
PmErScZn
1.0
-2.2584 -4.7255 0.3099
2.2595 -4.1428 -2.2933
2.1785 -3.7610 2.9388
Zn Sc Pm Er
1 1 1 1
direct
0.0000 0.0000 0.0000
0.5000 0.5000 0.5000
0.2500 0.2500 0.2500
0.7500 0.7500 0.7500
```



A plane-wave DFT calculation with GGA-PBE was carried out for a relaxed LaHfThSc crystal.

Calculated values
Fermi-level density of states = 4.35 states/eV/cell
formation enthalpy at 0 K = 0.160 eV/atom
crystal system = cubic
theoretical density = 8.781 g cm⁻³

```
LaHfThSc
1.0
5.4171 0.0000 0.0000
2.7085 4.6913 0.0000
2.7085 1.5638 4.4230
Sc La Hf Th
1 1 1 1
direct
0.5000 0.5000 0.5000
0.7500 0.7500 0.7500
0.0000 0.0000 0.0000
0.2500 0.2500 0.2500
```



A plane-wave DFT calculation with GGA-PBE was carried out for a relaxed HfGaPb2 crystal.

Calculated values
Fermi-level density of states = 2.95 states/eV/cell
formation enthalpy at 0 K = 0.367 eV/atom
crystal system = trigonal
theoretical density = 10.221 g cm⁻³

```
HfGaPb2
1.0
-2.2189 -1.2557 -2.0830
0.9799 -1.3018 -2.8608
0.6628 -11.1014 3.3842
Pb Ga Hf
2 1 1
direct
0.9125 0.9125 0.2624
0.0875 0.0875 0.7376
0.5000 0.5000 0.5000
0.0000 0.0000 0.0000
```



A plane-wave DFT calculation with GGA-PBE was carried out for a relaxed TlBr2Cl crystal.

Calculated values
offset from the most stable computed form = 147.0 meV per atom
Fermi-level density of states = 1.91 states/eV/cell
raw formation energy = -8.23 kcal/mol of atoms
crystal system = orthorhombic
theoretical density = 4.600 g cm⁻³

```
TlBr2Cl
1.0
-0.7222 3.7724 -5.9296
4.2933 -5.1777 2.1615
-0.8494 -3.4949 -3.3394
Br Tl Cl
2 1 1
direct
0.0000 0.0000 0.0000
0.5000 0.5000 0.0000
0.0000 0.5000 0.5000
0.5000 0.0000 0.5000
```



A plane-wave DFT calculation with GGA-PBE was carried out for a relaxed Na2PtRh2O6 crystal.

Calculated values
raw formation energy = -22.50 kcal/mol of atoms
crystal system = monoclinic
theoretical density = 6.575 g cm⁻³

```
Na2PtRh2O6
1.0
-3.6712 -1.4092 3.7706
5.3217 -0.4241 1.0862
-0.5488 5.6179 0.2228
O Na Rh Pt
6 2 2 1
direct
0.6041 0.9388 0.3108
0.7366 0.7366 0.6919
0.9388 0.6041 0.3108
0.2634 0.2634 0.3081
0.0612 0.3959 0.6892
0.3959 0.0612 0.6892
0.1685 0.8315 0.0000
0.8315 0.1685 0.0000
0.6658 0.3342 0.5000
0.3342 0.6658 0.5000
0.0000 0.0000 0.5000
```



A plane-wave DFT calculation with GGA-PBE was carried out for a relaxed LaAgO2 crystal.

Calculated values
Fermi-level density of states = 0.00 states/eV/cell
raw formation energy = -51.13 kcal/mol of atoms
crystal system = trigonal
theoretical density = 5.828 g cm⁻³

```
LaAgO2
1.0
-3.1671 -2.0808 0.5996
4.2933 -3.9095 -3.1646
-0.6295 -1.5892 3.4348
La O Ag
1 2 1
direct
0.5000 0.5000 0.5000
0.8891 0.6674 0.8891
0.1109 0.3326 0.1109
0.0000 0.0000 0.0000
```